[1]
PmDy6Y5 | PBE-GGA | optimized geometry Values from VASP.

Structure (Quantum ESPRESSO input):
```
&SYSTEM
  ibrav = 0, nat = 12, ntyp = 3
/
ATOMIC_SPECIES
Dy 162.50 Dy.upf
Y 88.91 Y.upf
Pm 145.00 Pm.upf
ATOMIC_POSITIONS angstrom
Dy -2.783 10.151 -1.798
Y -0.400 2.248 2.734
Dy -1.725 7.890 4.863
Dy 0.466 9.005 -2.709
Dy -1.328 5.641 2.127
Y -2.252 9.020 1.533
Dy -0.926 3.391 -0.607
Dy 0.069 11.254 0.027
Y -0.799 4.496 5.469
Y 0.993 7.875 0.621
Pm 0.000 0.000 0.000
Y -1.854 6.771 -1.203
CELL_PARAMETERS angstrom
-0.060 10.151 -6.049
-3.649 3.392 3.643
2.450 3.353 4.560
```

Summary:
* SG: No. 12
* energy of formation from the pure elements: 0.0194 eV per atom

=====

[2]
MgFe2Br | PBE-GGA | optimized geometry Values from VASP.

Structure (Quantum ESPRESSO input):
```
&SYSTEM
  ibrav = 0, nat = 4, ntyp = 3
/
ATOMIC_SPECIES
Fe 55.84 Fe.upf
Mg 24.30 Mg.upf
Br 79.90 Br.upf
ATOMIC_POSITIONS angstrom
Fe 22.533 4.629 2.748
Mg 11.479 2.358 1.400
Fe 5.883 1.209 0.717
Br 16.909 3.474 2.062
CELL_PARAMETERS angstrom
8.008 -0.007 -0.004
7.357 3.163 -0.004
7.357 1.511 2.779
```

Summary:
* SG: No. 160
* uncorrected formation energy: 218 meV/atom

=====

[3]
Rb2CaHfF6 | PBE-GGA | optimized geometry Values from VASP.

Structure (Quantum ESPRESSO input):
```
&SYSTEM
  ibrav = 0, nat = 10, ntyp = 4
/
ATOMIC_SPECIES
F 19.00 F.upf
Hf 178.49 Hf.upf
Rb 85.47 Rb.upf
Ca 40.08 Ca.upf
ATOMIC_POSITIONS angstrom
F 6.425 6.425 2.114
F 4.840 1.585 0.000
F 3.213 3.213 2.331
F 1.585 1.585 0.000
Hf 0.000 0.000 0.000
Rb 3.213 6.425 2.222
F 4.840 4.840 0.000
F 1.585 4.840 0.000
Ca 3.213 3.213 0.000
Rb 6.425 3.213 2.222
CELL_PARAMETERS angstrom
6.425 0.000 0.000
0.000 6.425 0.000
3.213 3.213 4.445
```

Summary:
* SG: No. 139
* uncorrected formation energy: -2932 meV/atom

=====

[4]
LaScSb2 | PBE-GGA | optimized geometry Values from VASP.

Structure (Quantum ESPRESSO input):
```
&SYSTEM
  ibrav = 0, nat = 4, ntyp = 3
/
ATOMIC_SPECIES
Sc 44.96 Sc.upf
La 138.91 La.upf
Sb 121.76 Sb.upf
ATOMIC_POSITIONS angstrom
Sc 4.747 2.744 0.000
La 3.166 0.002 1.583
Sb 1.581 2.742 1.583
Sb 0.000 0.000 0.000
CELL_PARAMETERS angstrom
6.331 0.003 0.000
3.162 5.485 0.000
-4.747 -2.744 3.166
```

Summary:
* SG: No. 119
* uncorrected formation energy: -779 meV/atom

=====

[5]
NiAg2Br | PBE-GGA | optimized geometry Values from VASP.

Structure (Quantum ESPRESSO input):
```
&SYSTEM
  ibrav = 0, nat = 4, ntyp = 3
/
ATOMIC_SPECIES
Ag 107.87 Ag.upf
Br 79.90 Br.upf
Ni 58.69 Ni.upf
ATOMIC_POSITIONS angstrom
Ag -8.768 -1.658 2.664
Br -6.839 -0.639 0.965
Ni -2.362 -0.288 0.448
Ag -8.416 0.948 -1.760
CELL_PARAMETERS angstrom
-4.374 1.909 -0.208
-4.345 -0.812 -1.809
-3.058 -2.919 4.906
```

Summary:
* SG: No. 8
* uncorrected formation energy: 193 meV/atom

=====

[6]
La2SiAg | PBE-GGA | optimized geometry Values from VASP.

Structure (Quantum ESPRESSO input):
```
&SYSTEM
  ibrav = 0, nat = 4, ntyp = 3
/
ATOMIC_SPECIES
Ag 107.87 Ag.upf
Si 28.09 Si.upf
La 138.91 La.upf
ATOMIC_POSITIONS angstrom
Ag -10.066 -4.037 9.487
Si -5.589 -2.242 5.268
La -2.884 -1.157 2.718
La -0.289 -0.116 0.272
CELL_PARAMETERS angstrom
-3.333 0.139 5.620
-6.052 -1.087 2.212
-3.166 -4.086 3.998
```

Summary:
* SG: No. 160
* uncorrected formation energy: -296 meV/atom

=====

| no. | ρ (kg/m3) | DOS(E_F) (states/eV per atom) |
| --- | --- | --- |
| 1 | 6774 | 1.38 |
| 2 | 5076 | 0.76 |
| 3 | 4556 | 0.66 |
| 4 | 6458 | 0.79 |
| 5 | 6562 | 0.42 |
| 6 | 6458 | 1.00 |